Computed, not measured: a relaxed MoPb2F8 crystal at the GGA+U level of DFT.

density	5.7	g/cm3
magnetic moment	0.0	Bohr magnetons per cell
E_tot	-5.105	eV/atom

Unit cell a=6.869 b=6.653 c=6.754 alpha=43.19 beta=111.46 gamma=111.88
Positions (direct):
F  0.433  0.287  0.299
F  0.994  0.039  0.677
F  0.691  0.062  0.889
F  0.111  0.424  0.775
F  0.006  0.961  0.323
F  0.567  0.713  0.701
F  0.309  0.938  0.111
Pb  0.662  0.171  0.219
Mo  0.000  0.000  0.000
Pb  0.338  0.829  0.781
F  0.889  0.576  0.225